[1]
Here is a relaxed Cs3SrAg2Br6 crystal from the Alexandria database. Energies are from PBE.

extended XYZ file:
```
12
Lattice="8.3861 0.0000 0.0000 -4.1931 7.2626 0.0000 0.0000 0.0000 9.1515" Properties=species:S:1:pos:R:3 pbc="T T T"
Cs 0.0000 0.0000 0.0000
Cs 4.1931 2.4209 3.3774
Cs 0.0000 4.8417 5.7740
Sr 0.0000 0.0000 4.5757
Br -2.0915 6.0492 2.7599
Br 0.0000 2.4267 2.7599
Br 2.0915 6.0492 2.7599
Br 2.1016 1.2134 6.3916
Br 6.2845 1.2134 6.3916
Br 4.1931 4.8359 6.3916
Ag 4.1931 2.4209 7.7326
Ag 0.0000 4.8417 1.4189
```

Results
formation energy without anion corrections: -1.25 eV per atom

=====

[2]
Here is a relaxed Li3ZnAu4 crystal from the Alexandria database. Energies are from PBE.

extended XYZ file:
```
8
Lattice="-0.0488 3.4625 -2.6561 -3.7288 -1.4141 -1.7749 -1.4774 2.3319 6.6524" Properties=species:S:1:pos:R:3 pbc="T T T"
Au -0.8547 0.8518 1.1261
Au -2.7441 1.8759 -1.0896
Au -4.4002 3.5285 1.0953
Au -2.5109 2.5044 3.3109
Li -3.5513 0.9765 1.3382
Li -1.7037 3.4038 0.8831
Li -1.8644 -0.7070 -0.8875
Zn -0.0244 1.7312 -1.3280
```

Results
energy relative to the elements: -46.3 kJ per mole of atoms

=====

[3]
Here is a relaxed AlHg2AuSe crystal from the Alexandria database. Energies are from PBE.

extended XYZ file:
```
5
Lattice="5.3541 0.0000 0.0000 0.0000 5.2831 0.0000 0.0000 0.0000 5.3541" Properties=species:S:1:pos:R:3 pbc="T T T"
Au 0.0000 0.0000 0.0000
Al 2.6770 2.6415 2.6770
Se 0.0000 2.6415 0.0000
Hg 0.0000 0.0000 2.6770
Hg 2.6770 0.0000 0.0000
```

Results
formation energy without anion corrections: 0.35 eV per atom

=====

[4]
Here is a relaxed SrEuInAg crystal from the Alexandria database. Energies are from PBE.

extended XYZ file:
```
4
Lattice="-4.7964 1.2694 -2.5558 -0.9701 -1.8306 -5.1824 -3.8238 -3.9672 -0.8881" Properties=species:S:1:pos:R:3 pbc="T T T"
Ag -2.3976 -1.1321 -2.1566
Sr -4.7952 -2.2642 -4.3132
In -7.1928 -3.3963 -6.4698
Eu 0.0000 0.0000 0.0000
```

Results
energy relative to the elements: -31.7 kJ per mole of atoms

=====

[5]
Here is a relaxed Hg3BiH2 crystal from the Alexandria database. Energies are from PBE.

extended XYZ file:
```
12
Lattice="-3.7398 -4.3542 2.6294 4.5511 -8.6894 6.6606 -2.0796 11.3647 -2.8518" Properties=species:S:1:pos:R:3 pbc="T T T"
Hg -0.6350 -6.1335 5.8252
Hg -2.2677 2.1198 1.9322
Hg 0.6627 -0.9650 1.0183
Hg -1.9310 -0.7138 5.4199
Hg 0.9994 -3.7986 4.5060
Hg -0.6334 4.4547 0.6131
Bi -0.3600 1.5816 3.9934
Bi -0.9083 -3.2604 2.4448
H 2.2556 -4.0488 5.6813
H -1.6599 -1.9519 3.5502
H 0.3916 0.2730 2.8880
H -3.5239 2.3699 0.7569
```

=====

[6]
Here is a relaxed AcPr4Si4 crystal from the Alexandria database. Energies are from PBE.

extended XYZ file:
```
18
Lattice="-1.8354 -0.2868 -5.7055 -7.2040 -5.8979 2.6138 -5.7331 7.6496 1.4598" Properties=species:S:1:pos:R:3 pbc="T T T"
Si -6.4110 3.7053 -2.0539
Si -4.2749 -0.5384 -0.9782
Si -7.6134 -3.1414 -2.9286
Si -3.1113 1.2708 0.1622
Si -8.5437 4.3899 -3.0078
Si -10.0468 2.0736 0.7473
Si -8.8122 -2.3108 -0.9791
Si -10.2764 0.4104 2.5104
Pr -4.7970 3.7679 0.5560
Pr -11.2660 -0.4703 -0.3052
Pr -5.9861 -3.0767 -0.2771
Pr -10.8926 2.6676 -2.1427
Pr -3.9705 1.8627 -2.7694
Pr -8.3222 4.6141 0.0878
Pr -8.6041 -2.0888 2.0750
Pr -5.2511 -1.4170 -3.7522
Ac -7.3862 0.7324 -0.8160
Ac 0.0000 0.0000 0.0000
```

Results
formation energy without anion corrections: -0.40 eV per atom

=====

[7]
Here is a relaxed KPrOs2O8 crystal from the Alexandria database. Energies are from PBE.

extended XYZ file:
```
12
Lattice="6.0951 0.0000 0.0000 -3.0475 5.2785 0.0000 0.0000 0.0000 7.7691" Properties=species:S:1:pos:R:3 pbc="T T T"
Pr 0.0000 0.0000 3.8846
O -1.4826 4.3561 5.4106
O 0.0000 3.5190 0.0575
O 1.5813 0.8941 2.3586
O 1.4663 4.3844 5.4106
O 3.0312 3.4620 2.3586
O 4.5302 0.9224 2.3586
O 0.0163 1.8165 5.4106
O 3.0475 1.7595 7.7116
Os 0.0000 3.5190 6.0610
Os 3.0475 1.7595 1.7081
K 0.0000 0.0000 0.0000
```

Results
formation energy without anion corrections: -1.51 eV per atom

=====

[8]
Here is a relaxed TlRe4W crystal from the Alexandria database. Energies are from PBE.

extended XYZ file:
```
6
Lattice="-1.9547 2.2535 4.2989 -4.2097 3.0881 -0.3485 -4.5883 -1.6030 1.9385" Properties=species:S:1:pos:R:3 pbc="T T T"
Re -4.4309 3.1320 2.7125
Re -4.6193 0.7978 3.8504
Re -5.7413 1.2131 1.5379
Re -6.7140 2.3344 3.6770
Tl -2.6882 0.9347 1.4722
W 0.0000 0.0000 0.0000
```

Results
energy relative to the elements: 65.3 kJ per mole of atoms

=====

| no. | E_tot (eV/cell) |
| --- | --- |
| 1 | -35.00 |
| 2 | -23.96 |
| 3 | -9.34 |
| 4 | -18.86 |
| 5 | -20.26 |
| 6 | -97.03 |
| 7 | -86.09 |
| 8 | -61.05 |